Entry 1:
# OsW2Au (PBEsol, optimized geometry)
data_OsW2Au
_symmetry_space_group_name_H-M 'P 1'
_symmetry_Int_Tables_number 1
_symmetry_space_group_name_Hall 'P 1'
_cell_length_a 3.895
_cell_length_b 3.895
_cell_length_c 4.867
_cell_angle_alpha 113.59
_cell_angle_beta 113.59
_cell_angle_gamma 90.00
loop_
_atom_site_label
_atom_site_type_symbol
_atom_site_fract_x
_atom_site_fract_y
_atom_site_fract_z
Au1 Au 0.500 0.500 0.000
Os1 Os 0.000 0.000 0.000
W1 W 0.750 0.250 0.500
W2 W 0.250 0.750 0.500
# D(E_F)	0.46	states/eV per atom
# formation enthalpy at 0 K	0.2476	eV per atom
# ΔE to the lowest computed polymorph	58.8	meV/atom

Entry 2:
# BaMg2N2 (PBEsol, optimized geometry)
data_BaMg2N2
_symmetry_space_group_name_H-M 'P 1'
_symmetry_Int_Tables_number 1
_symmetry_space_group_name_Hall 'P 1'
_cell_length_a 3.687
_cell_length_b 3.687
_cell_length_c 6.683
_cell_angle_alpha 90.00
_cell_angle_beta 90.00
_cell_angle_gamma 120.00
loop_
_atom_site_label
_atom_site_type_symbol
_atom_site_fract_x
_atom_site_fract_y
_atom_site_fract_z
Mg1 Mg 0.333 0.667 0.876
Mg2 Mg 0.667 0.333 0.124
Ba1 Ba 0.000 0.000 0.500
N1 N 0.333 0.667 0.207
N2 N 0.667 0.333 0.793
# calculated total energy	-5.190	eV per atom

Entry 3:
# BaVS3 (PBEsol, optimized geometry)
data_BaVS3
_symmetry_space_group_name_H-M 'P 1'
_symmetry_Int_Tables_number 1
_symmetry_space_group_name_Hall 'P 1'
_cell_length_a 6.673
_cell_length_b 8.618
_cell_length_c 8.617
_cell_angle_alpha 79.58
_cell_angle_beta 67.22
_cell_angle_gamma 67.22
loop_
_atom_site_label
_atom_site_type_symbol
_atom_site_fract_x
_atom_site_fract_y
_atom_site_fract_z
Ba1 Ba 0.666 0.461 0.207
Ba2 Ba 0.340 0.037 0.284
Ba3 Ba 0.666 0.961 0.707
Ba4 Ba 0.340 0.537 0.784
V1 V 0.026 0.223 0.726
V2 V 0.980 0.519 0.522
V3 V 0.026 0.723 0.226
V4 V 0.980 0.019 0.022
S1 S 0.173 0.947 0.707
S2 S 0.833 0.537 0.797
S3 S 0.173 0.447 0.207
S4 S 0.833 0.037 0.297
S5 S 0.164 0.211 0.950
S6 S 0.675 0.211 0.950
S7 S 0.841 0.295 0.534
S8 S 0.330 0.295 0.534
S9 S 0.164 0.711 0.450
S10 S 0.675 0.711 0.450
S11 S 0.841 0.795 0.034
S12 S 0.330 0.795 0.034
# D(E_F)	0.59	states/eV per atom
# calculated total energy	-6.422	eV per atom